VASP calculation (PBE) on a relaxed Pr6Sm crystal.

The structure in extended XYZ format:
```
7
Lattice="7.7439 4.4710 1.2150 -7.7439 4.4710 1.2150 0.0000 -8.9419 1.2150" Properties=species:S:1:pos:R:3 pbc="T T T"
Pr -5.6842 -1.8599 1.5931
Pr -1.2314 -5.8526 2.0519
Pr -4.4528 3.9928 2.0519
Pr 4.4528 -3.9928 1.5931
Pr 1.2314 5.8526 1.5931
Pr 5.6842 1.8599 2.0519
Sm 0.0000 0.0000 1.8225
```

Results
Fermi-level density of states   14.74 states/eV/cell
Space-group type   No. 148
Formation energy   0.1104 eV per atom
Magnetization   0.0000 μB per atom